Model A:
AlTeSe2N: relaxed, PBE.

```
AlTeSe2N
1.0
5.4149 0.0000 0.0000
0.0000 5.4149 0.0000
0.0000 0.0000 3.9540
Te Al Se N
1 1 2 1
Cartesian
0.0000 0.0000 0.0000
2.7075 2.7075 1.9770
0.0000 2.7075 0.0000
2.7075 0.0000 0.0000
0.0000 0.0000 1.9770
```

---

Model B:
AlTeSe2N: relaxed, PBE.

```
AlTeSe2N
1.0
-4.4333 -2.6836 0.0257
2.6740 -4.4213 -0.3978
0.1585 -0.2274 3.5929
Te Al Se N
1 1 2 1
Cartesian
-0.8004 -3.6661 1.6104
0.0000 0.0000 0.0000
1.3370 -2.2107 -0.1989
-2.2167 -1.3418 0.0129
0.0793 -0.1137 1.7964
```

---

Most stable to least stable: model B, model A

---

Model A:
AlTe2SeN: relaxed, PBE.

```
AlTe2SeN
1.0
-2.8261 -2.0001 -4.6189
4.8700 -2.4250 -1.9297
-0.8067 -3.0712 1.8235
Te Al Se N
2 1 1 1
Cartesian
2.4350 -1.2125 -0.9648
-1.4131 -1.0001 -2.3094
0.6186 -3.7481 -2.3625
0.0000 0.0000 0.0000
-0.4034 -1.5356 0.9118
```

---

Model B:
AlTe2SeN: relaxed, PBE.

```
AlTe2SeN
1.0
5.5618 0.0000 0.0000
0.0000 5.5618 0.0000
0.0000 0.0000 3.5232
Te Al Se N
2 1 1 1
Cartesian
0.0000 2.7809 0.0000
2.7809 0.0000 0.0000
0.0000 0.0000 0.0000
2.7809 2.7809 1.7616
0.0000 0.0000 1.7616
```

---

Most stable to least stable: model B, model A

---

Model A:
TiAlSe2N: relaxed, PBE.

```
TiAlSe2N
1.0
4.9881 0.0000 0.0000
0.0000 4.9881 0.0000
0.0000 0.0000 3.5224
N Al Se Ti
1 1 2 1
Cartesian
0.0000 0.0000 1.7612
0.0000 0.0000 0.0000
0.0000 2.4940 0.0000
2.4940 0.0000 0.0000
2.4940 2.4940 1.7612
```

---

Model B:
TiAlSe2N: relaxed, PBE.

```
TiAlSe2N
1.0
5.1144 0.0000 0.0000
0.0000 5.1144 0.0000
0.0000 0.0000 3.7284
N Al Se Ti
1 1 2 1
Cartesian
0.0000 0.0000 1.8642
2.5572 2.5572 1.8642
0.0000 2.5572 0.0000
2.5572 0.0000 0.0000
0.0000 0.0000 0.0000
```

---

Most stable to least stable: model B, model A

---

Model A:
TiAlSeN2: relaxed, PBE.

```
TiAlSeN2
1.0
3.8441 0.0000 0.0000
0.0000 3.8441 0.0000
0.0000 0.0000 5.4385
N Al Se Ti
2 1 1 1
Cartesian
0.0000 1.9220 0.0000
1.9220 0.0000 0.0000
1.9220 1.9220 2.7193
0.0000 0.0000 2.7193
0.0000 0.0000 0.0000
```

---

Model B:
TiAlSeN2: relaxed, PBE.

```
TiAlSeN2
1.0
3.7159 0.0000 0.0000
0.0000 3.7159 0.0000
0.0000 0.0000 5.1388
N Al Se Ti
2 1 1 1
Cartesian
0.0000 1.8579 0.0000
1.8579 0.0000 0.0000
0.0000 0.0000 0.0000
0.0000 0.0000 2.5694
1.8579 1.8579 2.5694
```

---

Most stable to least stable: model A, model B

---

Model A:
AlTlSe2N: relaxed, PBE.

```
AlTlSe2N
1.0
-0.1109 4.7550 -2.5740
-5.3645 -0.4190 -0.5428
-0.4434 1.6657 3.0962
Tl Al Se N
1 1 2 1
Cartesian
-2.9594 3.0009 -0.0103
0.0000 0.0000 0.0000
-2.6822 -0.2095 -0.2714
-0.0555 2.3775 -1.2870
-0.2217 0.8329 1.5481
```

---

Model B:
AlTlSe2N: relaxed, PBE.

```
AlTlSe2N
1.0
5.5127 0.0000 0.0000
0.0000 5.5127 0.0000
0.0000 0.0000 4.2720
Tl Al Se N
1 1 2 1
Cartesian
0.0000 0.0000 0.0000
2.7564 2.7564 2.1360
0.0000 2.7564 0.0000
2.7564 0.0000 0.0000
0.0000 0.0000 2.1360
```

---

Most stable to least stable: model A, model B

---

Model A:
AlVSe2N: relaxed, PBE.

```
AlVSe2N
1.0
-0.4833 -2.8203 -4.0919
-1.2801 -3.9018 2.8405
-3.4818 0.9600 -0.2504
N Al Se V
1 1 2 1
Cartesian
-1.7409 0.4800 -0.1252
-2.6227 -2.8810 -0.7509
-0.6401 -1.9509 1.4203
-0.2417 -1.4102 -2.0459
0.0000 0.0000 0.0000
```

---

Model B:
AlVSe2N: relaxed, PBE.

```
AlVSe2N
1.0
-3.9446 1.0835 2.8610
-0.8621 -4.8729 0.6567
2.0677 0.0175 2.8442
N Al Se V
1 1 2 1
Cartesian
1.0338 0.0087 1.4221
0.0000 0.0000 0.0000
-0.4311 -2.4364 0.3284
-1.9723 0.5417 1.4305
-1.3695 -1.8860 3.1810
```

---

Most stable to least stable: model A, model B